# KCuRu2O8

Crystalline KCuRu2O8 at its relaxed geometry (GGA-PBE, Alexandria via LeMat-Bulk).

a b c (Å): 5.1737 5.1737 24.6956
angles (deg): 90.00 90.00 120.00
With the nearest neighbours (Å) after each atom.
Space group R-3 (No. 148, hexagonal axes)
Asymmetric unit:
K 0.0000 0.0000 0.0000 (multiplicity 3)  6 O 3.04
Cu 0.0000 0.0000 0.5000 (multiplicity 3)  6 O 2.05
Ru 0.0000 0.0000 0.2392 (multiplicity 6)  4 O 1.76-1.78
O 0.0000 0.0000 0.3104 (multiplicity 6)  1 Ru 1.76
O 0.0020 0.3574 0.1179 (multiplicity 18)  1 Ru 1.78

Computed properties:
**Energy relative to the elements, uncorrected**: -1007 kJ/mol of formula units
**Total magnetization**: 1.89 μB/f.u.
**Calculated volume**: 572 Å³/cell

***

# K2Cu2RuO6

Crystalline K2Cu2RuO6 at its relaxed geometry (GGA-PBE, Alexandria via LeMat-Bulk).

a b c (Å): 5.8075 5.8075 16.7383
angles (deg): 90.00 90.00 120.00
With the nearest neighbours (Å) after each atom.
Space group R-3m (No. 166, hexagonal axes)
Asymmetric unit:
K 0.0000 0.0000 0.2110 (multiplicity 6)  9 O 2.81-3.03
Cu 0.0000 0.0000 0.3994 (multiplicity 6)  3 O 1.82
Ru 0.0000 0.0000 0.0000 (multiplicity 3)  6 O 1.94
O 0.0278 0.5139 0.7370 (multiplicity 18)  1 Cu 1.82, 1 Ru 1.94

Computed properties:
**Energy relative to the elements, uncorrected**: -1015 kJ/mol of formula units
**Total magnetization**: 0.20 μB/f.u.
**Calculated volume**: 489 Å³/cell

***

# KCuS2O8

Crystalline KCuS2O8 at its relaxed geometry (GGA-PBE, Alexandria via LeMat-Bulk).

a b c (Å): 4.7925 4.7925 24.7408
angles (deg): 90.00 90.00 120.00
With the nearest neighbours (Å) after each atom.
Space group R-3 (No. 148, hexagonal axes)
Asymmetric unit:
K 0.0000 0.0000 0.0000 (multiplicity 3)  6 O 2.92
Cu 0.0000 0.0000 0.5000 (multiplicity 3)  6 O 2.03
S 0.0000 0.0000 0.2357 (multiplicity 6)  4 O 1.47-1.50
O 0.0000 0.0000 0.2952 (multiplicity 6)  1 S 1.47
O 0.0237 0.3073 0.2164 (multiplicity 18)  1 S 1.50

Computed properties:
**Energy relative to the elements, uncorrected**: -1466 kJ/mol of formula units
**Total magnetization**: 1.87 μB/f.u.
**Calculated volume**: 492 Å³/cell

***

# KCuSO4

Crystalline KCuSO4 at its relaxed geometry (GGA-PBE, Alexandria via LeMat-Bulk).

a b c (Å): 8.0640 8.0640 8.0640
angles (deg): 90.00 90.00 90.00
With the nearest neighbours (Å) after each atom.
Space group F-43m (No. 216)
Asymmetric unit:
K 0.0000 0.0000 0.0000 (multiplicity 4)  12 O 3.40, 4 Cu 3.49
Cu 0.2500 0.2500 0.7500 (multiplicity 4)  4 O 2.00
S 0.0000 0.0000 0.5000 (multiplicity 4)  4 O 1.49
O 0.1065 0.1065 0.6065 (multiplicity 16)  1 S 1.49

Computed properties:
**Energy relative to the elements, uncorrected**: -853 kJ/mol of formula units
**Total magnetization**: 0.12 μB/f.u.
**Calculated volume**: 524 Å³/cell

***

Question: Which of these has the highest total magnetization?
Answer: KCuRu2O8

***

Question: calculated volume of number 3 (KCuS2O8)?
Answer: 492 Å³/cell

***

Question: What is the calculated volume in the first record?
Answer: 572 Å³/cell